! NbPb PBE relaxed; values from VASP
! Polymorph energy (0 for the lowest one)   488 meV/atom
! Space-group type   I4/m
! M_tot   0.00 μB/cell
! Uncorrected energy   -12.312 eV per formula unit
! ρ   8.05 g/cm³
! N(E_F)   6.578 states/eV per cell
! Energy of formation from the pure elements   733 meV/atom
! Crystal system   tetragonal
&SYSTEM
  ibrav = 0, nat = 8, ntyp = 2
/
ATOMIC_SPECIES
Nb 92.91 Nb.upf
Pb 207.20 Pb.upf
CELL_PARAMETERS angstrom
-6.138 6.138 1.644
6.138 -6.138 1.644
6.138 6.138 -1.644
ATOMIC_POSITIONS angstrom
Nb 3.519 2.169 0.000
Nb 3.970 -2.619 1.644
Nb 2.169 8.757 0.000
Nb 2.619 3.970 1.644
Pb 9.790 0.532 0.000
Pb 0.532 2.486 0.000
Pb 5.607 3.652 1.644
Pb -3.652 5.607 1.644